Here is a relaxed HoHfCo crystal from Alexandria via LeMat-Bulk. Energies are from PBE.

Computed properties:
**Energy of formation from the pure elements**: -0.1048 eV/atom
**Volume**: 61.8 Å³ per cell

Lattice parameters (Å, degrees): 3.2577 3.2577 6.2606 105.08 105.08 90.00
Sites, in units of the cell vectors:
1 Co 0.6874 0.6874 0.3748
2 Ho 0.0209 0.0209 0.0418
3 Hf 0.2917 0.2917 0.5833

***

Here is a relaxed HoHf2Co9 crystal from Alexandria via LeMat-Bulk. Energies are from PBE.

Computed properties:
**Energy of formation from the pure elements**: -0.2790 eV/atom
**Volume**: 162.4 Å³ per cell

Lattice parameters (Å, degrees): 4.8702 4.8702 8.3896 73.13 73.13 60.00
Sites, in units of the cell vectors:
1 Co 0.4121 0.9219 0.2539
2 Co 0.3357 0.3357 0.9929
3 Co 0.9219 0.4121 0.2539
4 Co 0.5879 0.5879 0.7461
5 Co 0.0781 0.5879 0.7461
6 Co 0.5000 0.5000 0.5000
7 Co 0.5879 0.0781 0.7461
8 Co 0.6643 0.6643 0.0071
9 Co 0.4121 0.4121 0.2539
10 Ho 0.0000 0.0000 0.0000
11 Hf 0.1399 0.1399 0.5802
12 Hf 0.8601 0.8601 0.4198

***

Here is a relaxed HoHf2Co crystal from Alexandria via LeMat-Bulk. Energies are from PBE.

Computed properties:
**Energy of formation from the pure elements**: 0.2316 eV/atom
**Volume**: 92.2 Å³ per cell

Lattice parameters (Å, degrees): 3.2969 3.2969 9.9728 80.49 80.49 60.00
Sites, in units of the cell vectors:
1 Hf 0.1108 0.1108 0.6677
2 Hf 0.8892 0.8892 0.3323
3 Ho 0.0000 0.0000 0.0000
4 Co 0.5000 0.5000 0.5000

***

Here is a relaxed Ho2HfCo crystal from Alexandria via LeMat-Bulk. Energies are from PBE.

Computed properties:
**Energy of formation from the pure elements**: 0.3750 eV/atom
**Volume**: 94.9 Å³ per cell

Lattice parameters (Å, degrees): 3.2893 3.2893 10.3020 80.81 80.81 60.00
Sites, in units of the cell vectors:
1 Hf 0.0000 0.0000 0.0000
2 Ho 0.8947 0.8947 0.3159
3 Ho 0.1053 0.1053 0.6841
4 Co 0.5000 0.5000 0.5000

***

Here is a relaxed HoHfCo2 crystal from Alexandria via LeMat-Bulk. Energies are from PBE.

Computed properties:
**Energy of formation from the pure elements**: -0.2428 eV/atom
**Volume**: 68.0 Å³ per cell

Lattice parameters (Å, degrees): 4.5815 4.5815 4.5815 60.00 60.00 60.00
Sites, in units of the cell vectors:
1 Co 0.7500 0.7500 0.7500
2 Co 0.2500 0.2500 0.2500
3 Hf 0.5000 0.5000 0.5000
4 Ho 0.0000 0.0000 0.0000

***

Here is a relaxed Ho2HfCo9 crystal from Alexandria via LeMat-Bulk. Energies are from PBE.

Computed properties:
**Energy of formation from the pure elements**: -0.1854 eV/atom
**Volume**: 167.1 Å³ per cell

Lattice parameters (Å, degrees): 4.8634 4.8634 8.6260 73.63 73.63 60.00
Sites, in units of the cell vectors:
1 Co 0.9215 0.4193 0.2399
2 Co 0.4193 0.9215 0.2399
3 Co 0.5807 0.5807 0.7601
4 Co 0.4193 0.4193 0.2399
5 Co 0.5000 0.5000 0.5000
6 Co 0.5807 0.0785 0.7601
7 Co 0.3343 0.3343 0.9971
8 Co 0.6657 0.6657 0.0029
9 Co 0.0785 0.5807 0.7601
10 Hf 0.0000 0.0000 0.0000
11 Ho 0.1388 0.1388 0.5835
12 Ho 0.8612 0.8612 0.4165